Entry from the Alexandria database: a geometry-optimized ZnReSe2 structure (PBE-GGA).

Summary:
**Uncorrected energy**: -18.00 eV/cell
**ρ**: 9.57 g cm⁻³
**Spin magnetization**: 0.00 μB per cell
**Polymorph energy (0 for the lowest one)**: 595 meV per atom
**Formation energy from raw total energies**: 64.8 kJ/mol of atoms
**SG**: C2/m

a = 5.5918 Å, b = 6.0383 Å, c = 2.6416 Å
α = 69.98°, β = 105.49°, γ = 121.43°
With the nearest neighbours (Å) after each atom.
Fractional coordinates of all 4 atoms:
Se  0.0000  0.0000  0.0000  4 Se 2.64-2.75, 2 Re 2.85, 2 Zn 2.85
Se  0.5000  0.0000  0.5000  4 Se 2.64-2.75, 2 Zn 2.85, 2 Re 2.85
Zn  0.0000  0.5000  0.5000  2 Zn 2.64, 2 Re 2.75, 4 Se 2.85
Re  0.5000  0.5000  0.0000  2 Re 2.64, 2 Zn 2.75, 4 Se 2.85